(1)
8
Lattice="4.8634 0.0000 0.0000 0.0000 4.8634 0.0000 0.0000 0.0000 11.1408" Properties=species:S:1:pos:R:3 comment="KPb2ICl4 (PBE-GGA, relaxed)" crystal_system=tetragonal spacegroup="No. 123" raw_formation_energy_mev_per_atom=-1192 pbc="T T T"
K 0.0000 0.0000 0.0000
Pb 2.4317 2.4317 3.5311
Pb 2.4317 2.4317 7.6098
I 0.0000 0.0000 5.5704
Cl 0.0000 2.4317 2.0894
Cl 2.4317 0.0000 9.0514
Cl 2.4317 0.0000 2.0894
Cl 0.0000 2.4317 9.0514

***

(2)
10
Lattice="6.1762 0.0000 0.0000 0.0000 6.1762 0.0000 0.0000 0.0000 4.0944" Properties=species:S:1:pos:R:3 comment="VPd2Rh2 (PBE-GGA, relaxed)" e_form_ev_per_atom=0.0821 relative_energy_ev_per_atom=0.2482 crystal_system=tetragonal spacegroup="No. 127" pbc="T T T"
Rh 2.2051 5.2932 0.0000
Rh 5.2932 3.9711 0.0000
Rh 3.9711 0.8830 0.0000
Rh 0.8830 2.2051 0.0000
Pd 1.0021 4.0902 2.0472
Pd 4.0902 5.1741 2.0472
Pd 5.1741 2.0860 2.0472
Pd 2.0860 1.0021 2.0472
V 0.0000 0.0000 0.0000
V 3.0881 3.0881 0.0000

***

(3)
8
Lattice="4.3621 0.0000 0.0000 0.0000 5.3836 0.0000 0.0000 0.0000 6.4750" Properties=species:S:1:pos:R:3 comment="PuPt3 (PBE-GGA, relaxed)" e_form_ev_per_atom=-0.5923 crystal_system=orthorhombic spacegroup="No. 51" pbc="T T T"
Pu 0.0000 1.3459 4.4710
Pu 0.0000 4.0377 2.0040
Pt 0.0000 4.0377 5.5326
Pt 0.0000 1.3459 0.9425
Pt 2.1811 0.0000 0.0000
Pt 2.1811 2.6918 0.0000
Pt 2.1811 4.0377 3.9098
Pt 2.1811 1.3459 2.5652

***

no.,calculated volume (Å³ per atom)
1,32.9
2,15.6
3,19.0